Entry 1:
# Tc2MoBr (PBE, relaxed)
# electronic total energy	-7.64	eV/atom
# formation energy (no corrections)	0.66	eV per atom
# V	16.8	Å³ per atom
data_Tc2MoBr
_cell_length_a 3.117
_cell_length_b 4.917
_cell_length_c 8.780
_cell_angle_alpha 90.00
_cell_angle_beta 90.00
_cell_angle_gamma 90.00
_space_group_name_H-M_alt 'C m m m'
_space_group_IT_number 65
_space_group_name_Hall '-C 2 2'
loop_
_atom_site_label
_atom_site_type_symbol
_atom_site_fract_x
_atom_site_fract_y
_atom_site_fract_z
_atom_site_occupancy
Tc1 Tc 0.000 0.000 0.230 1
Mo1 Mo 0.000 0.500 0.000 1
Br1 Br 0.000 0.500 0.500 1



Entry 2:
# TcMoBr2 (PBE, relaxed)
# electronic total energy	-4.93	eV/atom
# formation energy (no corrections)	1.20	eV per atom
# V	22.6	Å³ per atom
data_TcMoBr2
_cell_length_a 5.673
_cell_length_b 5.673
_cell_length_c 11.226
_cell_angle_alpha 90.00
_cell_angle_beta 90.00
_cell_angle_gamma 90.00
_space_group_name_H-M_alt 'I -4 2 d'
_space_group_IT_number 122
_space_group_name_Hall 'I -4 2bw'
loop_
_atom_site_label
_atom_site_type_symbol
_atom_site_fract_x
_atom_site_fract_y
_atom_site_fract_z
_atom_site_occupancy
Tc1 Tc 0.000 0.000 0.000 1
Mo1 Mo 0.000 0.000 0.500 1
Br1 Br 0.247 0.250 0.125 1



Entry 3:
# Tc2MoBr (PBE, relaxed)
# electronic total energy	-7.62	eV/atom
# formation energy (no corrections)	0.69	eV per atom
# V	16.5	Å³ per atom
data_Tc2MoBr
_cell_length_a 2.977
_cell_length_b 4.097
_cell_length_c 5.579
_cell_angle_alpha 90.00
_cell_angle_beta 103.91
_cell_angle_gamma 90.00
_space_group_name_H-M_alt 'P 1 2/m 1'
_space_group_IT_number 10
loop_
_space_group_symop_operation_xyz
'x,y,z'
'-x,-y,-z'
'-x,y,-z'
'x,-y,z'
loop_
_atom_site_label
_atom_site_type_symbol
_atom_site_fract_x
_atom_site_fract_y
_atom_site_fract_z
_atom_site_occupancy
Tc1 Tc 0.111 0.000 0.220 1
Mo1 Mo 0.500 0.500 0.000 1
Br1 Br 0.500 0.500 0.500 1



Entry 4:
# TeMo3Br (PBE, relaxed)
# electronic total energy	-5.88	eV/atom
# formation energy (no corrections)	1.58	eV per atom
# V	20.6	Å³ per atom
data_TeMo3Br
_cell_length_a 4.691
_cell_length_b 4.691
_cell_length_c 4.691
_cell_angle_alpha 90.00
_cell_angle_beta 90.00
_cell_angle_gamma 90.00
_space_group_name_H-M_alt 'P m -3 m'
_space_group_IT_number 221
_space_group_name_Hall '-P 4 2 3'
loop_
_atom_site_label
_atom_site_type_symbol
_atom_site_fract_x
_atom_site_fract_y
_atom_site_fract_z
_atom_site_occupancy
Te1 Te 0.000 0.000 0.000 1
Mo1 Mo 0.000 0.500 0.500 1
Br1 Br 0.500 0.500 0.500 1



Entry 5:
# TeMoBr (PBE, relaxed)
# electronic total energy	-5.30	eV/atom
# formation energy (no corrections)	-0.08	eV per atom
# V	26.9	Å³ per atom
data_TeMoBr
_cell_length_a 3.4531
_cell_length_b 3.4531
_cell_length_c 7.8034
_cell_angle_alpha 90.00
_cell_angle_beta 90.00
_cell_angle_gamma 120.00
_space_group_name_H-M_alt 'P 3 m 1'
_space_group_IT_number 156
loop_
_space_group_symop_operation_xyz
'x,y,z'
'-y,x-y,z'
'-x+y,-x,z'
'-y,-x,z'
'-x+y,y,z'
'x,x-y,z'
loop_
_atom_site_label
_atom_site_type_symbol
_atom_site_fract_x
_atom_site_fract_y
_atom_site_fract_z
_atom_site_occupancy
Te1 Te 0.0000 0.0000 0.0000 1
Mo1 Mo 0.3333 0.6667 0.7645 1
Br1 Br 0.6667 0.3333 0.5271 1



Entry 6:
# Te4MoBr (PBE, relaxed)
# electronic total energy	-4.26	eV/atom
# formation energy (no corrections)	-0.08	eV per atom
# V	35.0	Å³ per atom
data_Te4MoBr
_cell_length_a 16.466
_cell_length_b 8.279
_cell_length_c 6.163
_cell_angle_alpha 90.00
_cell_angle_beta 92.50
_cell_angle_gamma 90.00
_space_group_name_H-M_alt 'C 1 2/m 1'
_space_group_IT_number 12
loop_
_space_group_symop_operation_xyz
'x,y,z'
'-x,-y,-z'
'-x,y,-z'
'x,-y,z'
'x+1/2,y+1/2,z'
'-x+1/2,-y+1/2,-z'
'-x+1/2,y+1/2,-z'
'x+1/2,-y+1/2,z'
loop_
_atom_site_label
_atom_site_type_symbol
_atom_site_fract_x
_atom_site_fract_y
_atom_site_fract_z
_atom_site_occupancy
Te1 Te 0.000 0.237 0.000 1
Te2 Te 0.102 0.301 0.461 1
Te3 Te 0.188 0.500 0.784 1
Mo1 Mo 0.014 0.500 0.747 1
Br1 Br 0.202 0.000 0.842 1



Entry 7:
# TeMoBr4 (PBE, relaxed)
# electronic total energy	-2.33	eV/atom
# formation energy (no corrections)	1.11	eV per atom
# V	28.1	Å³ per atom
data_TeMoBr4
_cell_length_a 8.771
_cell_length_b 8.771
_cell_length_c 8.771
_cell_angle_alpha 90.00
_cell_angle_beta 90.00
_cell_angle_gamma 90.00
_space_group_name_H-M_alt 'F -4 3 m'
_space_group_IT_number 216
_space_group_name_Hall 'F -4 2 3'
loop_
_atom_site_label
_atom_site_type_symbol
_atom_site_fract_x
_atom_site_fract_y
_atom_site_fract_z
_atom_site_occupancy
Te1 Te 0.000 0.000 0.000 1
Mo1 Mo 0.250 0.250 0.250 1
Br1 Br 0.124 0.124 0.624 1



Entry 8:
# TeMoBr (PBE, relaxed)
# electronic total energy	-5.30	eV/atom
# formation energy (no corrections)	-0.08	eV per atom
# V	26.5	Å³ per atom
data_TeMoBr
_cell_length_a 3.454
_cell_length_b 3.454
_cell_length_c 15.482
_cell_angle_alpha 84.53
_cell_angle_beta 84.63
_cell_angle_gamma 60.01
_space_group_name_H-M_alt 'P -1'
_space_group_IT_number 2
loop_
_space_group_symop_operation_xyz
'x,y,z'
'-x,-y,-z'
loop_
_atom_site_label
_atom_site_type_symbol
_atom_site_fract_x
_atom_site_fract_y
_atom_site_fract_z
_atom_site_occupancy
Te1 Te 0.139 0.148 0.137 1
Mo1 Mo 0.439 0.447 0.257 1
Br1 Br 0.260 0.255 0.623 1



Entry 9:
# Te3MoBr (PBE, relaxed)
# electronic total energy	-4.11	eV/atom
# formation energy (no corrections)	0.27	eV per atom
# V	29.7	Å³ per atom
data_Te3MoBr
_cell_length_a 5.294
_cell_length_b 5.294
_cell_length_c 5.294
_cell_angle_alpha 90.00
_cell_angle_beta 90.00
_cell_angle_gamma 90.00
_space_group_name_H-M_alt 'P m -3 m'
_space_group_IT_number 221
_space_group_name_Hall '-P 4 2 3'
loop_
_atom_site_label
_atom_site_type_symbol
_atom_site_fract_x
_atom_site_fract_y
_atom_site_fract_z
_atom_site_occupancy
Te1 Te 0.000 0.000 0.500 1
Mo1 Mo 0.000 0.000 0.000 1
Br1 Br 0.500 0.500 0.500 1



Entry 10:
# Te3MoBr (PBE, relaxed)
# electronic total energy	-4.40	eV/atom
# formation energy (no corrections)	-0.01	eV per atom
# V	28.5	Å³ per atom
data_Te3MoBr
_cell_length_a 7.579
_cell_length_b 13.112
_cell_length_c 5.734
_cell_angle_alpha 90.00
_cell_angle_beta 90.00
_cell_angle_gamma 90.00
_space_group_name_H-M_alt 'C m c m'
_space_group_IT_number 63
_space_group_name_Hall '-C 2c 2'
loop_
_atom_site_label
_atom_site_type_symbol
_atom_site_fract_x
_atom_site_fract_y
_atom_site_fract_z
_atom_site_occupancy
Te1 Te 0.000 0.177 0.250 1
Te2 Te 0.235 0.412 0.250 1
Mo1 Mo 0.000 0.000 0.000 1
Br1 Br 0.000 0.333 0.750 1



Entry 11:
# TeMoBr (PBE, relaxed)
# electronic total energy	-5.42	eV/atom
# formation energy (no corrections)	-0.21	eV per atom
# V	27.2	Å³ per atom
data_TeMoBr
_cell_length_a 3.689
_cell_length_b 4.575
_cell_length_c 9.825
_cell_angle_alpha 90.00
_cell_angle_beta 100.30
_cell_angle_gamma 90.00
_space_group_name_H-M_alt 'P 1 21/m 1'
_space_group_IT_number 11
loop_
_space_group_symop_operation_xyz
'x,y,z'
'-x,-y,-z'
'-x,y+1/2,-z'
'x,-y+1/2,z'
loop_
_atom_site_label
_atom_site_type_symbol
_atom_site_fract_x
_atom_site_fract_y
_atom_site_fract_z
_atom_site_occupancy
Te1 Te 0.066 0.250 0.138 1
Mo1 Mo 0.463 0.250 0.923 1
Br1 Br 0.338 0.250 0.660 1



Entry 12:
# TeMoBr (PBE, relaxed)
# electronic total energy	-5.17	eV/atom
# formation energy (no corrections)	0.05	eV per atom
# V	25.3	Å³ per atom
data_TeMoBr
_cell_length_a 3.254
_cell_length_b 3.254
_cell_length_c 14.309
_cell_angle_alpha 90.00
_cell_angle_beta 90.00
_cell_angle_gamma 90.00
_space_group_name_H-M_alt 'I 4 m m'
_space_group_IT_number 107
_space_group_name_Hall 'I 4 -2'
loop_
_atom_site_label
_atom_site_type_symbol
_atom_site_fract_x
_atom_site_fract_y
_atom_site_fract_z
_atom_site_occupancy
Te1 Te 0.000 0.000 0.000 1
Mo1 Mo 0.000 0.000 0.385 1
Br1 Br 0.000 0.000 0.768 1



Entry 13:
# TeMoBr (PBE, relaxed)
# electronic total energy	-4.20	eV/atom
# formation energy (no corrections)	1.01	eV per atom
# V	29.0	Å³ per atom
data_TeMoBr
_cell_length_a 7.037
_cell_length_b 7.037
_cell_length_c 7.037
_cell_angle_alpha 90.00
_cell_angle_beta 90.00
_cell_angle_gamma 90.00
_space_group_name_H-M_alt 'F -4 3 m'
_space_group_IT_number 216
_space_group_name_Hall 'F -4 2 3'
loop_
_atom_site_label
_atom_site_type_symbol
_atom_site_fract_x
_atom_site_fract_y
_atom_site_fract_z
_atom_site_occupancy
Te1 Te 0.000 0.000 0.000 1
Mo1 Mo 0.250 0.250 0.750 1
Br1 Br 0.250 0.250 0.250 1